A plane-wave DFT calculation with PBE was carried out for K3H4Au after structural relaxation.

The structure belongs to space group Pmn2_1 (No. 31); the cell edges are 8.610, 5.981 and 5.792 Å and the angles 90.00°, 90.00° and 90.00°. The distinct sites, in fractional coordinates, are K at (0.000, 0.145, 0.000), K at (0.249, 0.690, 0.000), H at (0.000, 0.532, 0.265), H at (0.000, 0.534, 0.735), H at (0.186, 0.855, 0.498) and Au at (0.000, 0.747, 0.499).

The total magnetic moment is 0.00 μB per atom. The calculation puts the energy above the most stable polymorph in this dataset at 0 meV per atom.